# Ho3CF3 GGA-PBE optimized geometry
data_Ho3CF3
_chemical_formula_sum 'Ho18 C6 F18'
_cell_length_a 6.3094
_cell_length_b 6.3094
_cell_length_c 19.4425
_cell_angle_alpha 90.00
_cell_angle_beta 90.00
_cell_angle_gamma 120.00
_symmetry_space_group_name_H-M 'R -3'
_symmetry_Int_Tables_number 148
_symmetry_space_group_name_Hall '-R 3'
loop_
_atom_site_label
_atom_site_fract_x
_atom_site_fract_y
_atom_site_fract_z
_atom_site_occupancy
Ho1 0.0010 0.3553 0.4289 1
C1 0.0000 0.0000 0.1668 1
F1 0.0066 0.3180 0.6276 1
# total DFT energy (no corrections): -6.527 eV per atom
# density of states at the Fermi level: 19.9 states/eV per cell
# formation energy without anion corrections: -17.12 eV per formula unit